[1]
First-principles (PBE-GGA) data for a relaxed TiHg2F crystal, as listed in the Alexandria database.

## Properties
The raw formation energy is -0.22 eV per atom. As for the space-group type: Fm-3m.

```
TiHg2F
1.0
4.057 -2.455 0.667
0.448 -2.903 3.782
0.055 -4.748 -0.619
F Hg Ti
1 2 1
Direct
0.000 0.000 0.000
0.250 0.250 0.250
0.750 0.750 0.750
0.500 0.500 0.500
```

[2]
First-principles (PBE-GGA) data for a relaxed Li2NiMo crystal, as listed in the Alexandria database.

## Properties
For the formation enthalpy at 0 K, the calculation gives 16.1 kcal/mol of atoms. As for the space-group type: Fm-3m.

```
Li2NiMo
1.0
-2.324 -1.651 2.967
-0.391 1.923 3.616
-3.580 1.750 1.023
Ni Mo Li
1 1 2
Direct
0.000 0.000 0.000
0.500 0.500 0.500
0.250 0.250 0.250
0.750 0.750 0.750
```

[3]
First-principles (PBE-GGA) data for a relaxed Li3La2Pd2 crystal, as listed in the Alexandria database.

## Properties
For the formation enthalpy at 0 K, the calculation gives -9.4 kcal/mol of atoms. As for the space-group type: Cmmm.

```
Li3La2Pd2
1.0
-0.978 -3.505 -1.111
2.145 -1.707 3.497
-9.904 1.500 3.983
Li La Pd
3 2 2
Direct
0.500 0.570 0.140
0.500 0.430 0.860
0.000 0.000 0.000
0.000 0.827 0.654
0.000 0.173 0.346
0.500 0.704 0.407
0.500 0.296 0.593
```

[4]
First-principles (PBE-GGA) data for a relaxed MgZr2Mn2 crystal, as listed in the Alexandria database.

## Properties
For the formation enthalpy at 0 K, the calculation gives 6.3 kcal/mol of atoms. As for the space-group type: I4/mmm.

```
MgZr2Mn2
1.0
-1.574 1.574 9.442
1.574 -1.574 9.442
1.574 1.574 -9.442
Mg Zr Mn
1 2 2
Direct
0.000 0.000 0.000
0.625 0.625 0.000
0.375 0.375 0.000
0.250 0.750 0.500
0.750 0.250 0.500
```

Respective total moment values: 2.0, 1.0, 0.0, 0.0 μB per formula unit.